No. 1
VASP calculation (meta-GGA SCAN) on a crystal of CdSi3 relaxed with PBEsol.

Geometry as CIF:
```
data_CdSi3
_chemical_formula_sum 'Cd2 Si6'
_cell_length_a 5.168
_cell_length_b 5.168
_cell_length_c 5.168
_cell_angle_alpha 90.00
_cell_angle_beta 90.00
_cell_angle_gamma 90.00
_symmetry_space_group_name_H-M 'P m -3 n'
_symmetry_Int_Tables_number 223
_symmetry_space_group_name_Hall '-P 4n 2 3'
loop_
_atom_site_label
_atom_site_fract_x
_atom_site_fract_y
_atom_site_fract_z
Cd1 0.000 0.000 0.000
Si1 0.000 0.250 0.500
```

Formation energy without anion corrections: 81 kJ per mole of atoms
Magnetic moment: 0.0 μB per formula unit
Calculated volume: 17.26 A^3/atom
Crystal system: cubic
Energy relative to the lowest polymorph listed for this composition: 0.41 eV/f.u.


No. 2
VASP calculation (meta-GGA SCAN) on a crystal of Cd2Si relaxed with PBEsol.

Geometry as CIF:
```
data_Cd2Si
_chemical_formula_sum 'Cd4 Si2'
_cell_length_a 5.976
_cell_length_b 5.976
_cell_length_c 4.107
_cell_angle_alpha 90.00
_cell_angle_beta 90.00
_cell_angle_gamma 90.00
_symmetry_space_group_name_H-M 'P 42/m n m'
_symmetry_Int_Tables_number 136
_symmetry_space_group_name_Hall '-P 4n 2n'
loop_
_atom_site_label
_atom_site_fract_x
_atom_site_fract_y
_atom_site_fract_z
Cd1 0.198 0.198 0.000
Si1 0.000 0.000 0.500
```

Formation energy without anion corrections: 34 kJ per mole of atoms
Magnetic moment: 0.0 μB per formula unit
Calculated volume: 24.44 A^3/atom
Crystal system: tetragonal


No. 3
VASP calculation (meta-GGA SCAN) on a crystal of Cd2Si relaxed with PBEsol.

Geometry as CIF:
```
data_Cd2Si
_chemical_formula_sum 'Cd8 Si4'
_cell_length_a 8.244
_cell_length_b 8.301
_cell_length_c 3.661
_cell_angle_alpha 90.00
_cell_angle_beta 90.00
_cell_angle_gamma 90.00
_symmetry_space_group_name_H-M 'C m c m'
_symmetry_Int_Tables_number 63
_symmetry_space_group_name_Hall '-C 2c 2'
loop_
_atom_site_label
_atom_site_fract_x
_atom_site_fract_y
_atom_site_fract_z
Cd1 0.179 0.131 0.250
Si1 0.000 0.411 0.250
```

Formation energy without anion corrections: 28 kJ per mole of atoms
Magnetic moment: 0.0 μB per formula unit
Calculated volume: 20.88 A^3/atom
Crystal system: orthorhombic


No. 4
VASP calculation (meta-GGA SCAN) on a crystal of SrCdSi2 relaxed with PBEsol.

Geometry as CIF:
```
data_SrCdSi2
_chemical_formula_sum 'Sr2 Cd2 Si4'
_cell_length_a 4.582
_cell_length_b 6.149
_cell_length_c 6.906
_cell_angle_alpha 90.00
_cell_angle_beta 90.00
_cell_angle_gamma 90.00
_symmetry_space_group_name_H-M 'I m m m'
_symmetry_Int_Tables_number 71
_symmetry_space_group_name_Hall '-I 2 2'
loop_
_atom_site_label
_atom_site_fract_x
_atom_site_fract_y
_atom_site_fract_z
Sr1 0.000 0.000 0.000
Cd1 0.000 0.000 0.500
Si1 0.000 0.500 0.178
```

Formation energy without anion corrections: 5 kJ per mole of atoms
Magnetic moment: 0.0 μB per formula unit
Calculated volume: 24.32 A^3/atom
Crystal system: orthorhombic


No. 5
VASP calculation (meta-GGA SCAN) on a crystal of SrCd2SiW relaxed with PBEsol.

Geometry as CIF:
```
data_SrCd2SiW
_chemical_formula_sum 'Sr1 Cd2 Si1 W1'
_cell_length_a 5.235
_cell_length_b 5.235
_cell_length_c 4.748
_cell_angle_alpha 90.00
_cell_angle_beta 90.00
_cell_angle_gamma 90.00
_symmetry_space_group_name_H-M 'P 4/m m m'
_symmetry_Int_Tables_number 123
_symmetry_space_group_name_Hall '-P 4 2'
loop_
_atom_site_label
_atom_site_fract_x
_atom_site_fract_y
_atom_site_fract_z
Sr1 0.000 0.000 0.000
Cd1 0.000 0.500 0.500
Si1 0.500 0.500 0.000
W1 0.500 0.500 0.500
```

Formation energy without anion corrections: 27 kJ per mole of atoms
Magnetic moment: 0.0 μB per formula unit
Calculated volume: 26.02 A^3/atom
Crystal system: tetragonal


No. 6
VASP calculation (meta-GGA SCAN) on a crystal of TaCdSi2 relaxed with PBEsol.

Geometry as CIF:
```
data_TaCdSi2
_chemical_formula_sum 'Ta4 Cd4 Si8'
_cell_length_a 6.441
_cell_length_b 6.441
_cell_length_c 6.441
_cell_angle_alpha 90.00
_cell_angle_beta 90.00
_cell_angle_gamma 90.00
_symmetry_space_group_name_H-M 'F -4 3 m'
_symmetry_Int_Tables_number 216
_symmetry_space_group_name_Hall 'F -4 2 3'
loop_
_atom_site_label
_atom_site_fract_x
_atom_site_fract_y
_atom_site_fract_z
Ta1 0.000 0.000 0.000
Cd1 0.250 0.250 0.750
Si1 0.000 0.000 0.500
Si2 0.250 0.250 0.250
```

Formation energy without anion corrections: 77 kJ per mole of atoms
Magnetic moment: 0.0 μB per formula unit
Calculated volume: 16.70 A^3/atom
Crystal system: cubic


No. 7
VASP calculation (meta-GGA SCAN) on a crystal of TaCdSi2 relaxed with PBEsol.

Geometry as CIF:
```
data_TaCdSi2
_chemical_formula_sum 'Ta2 Cd2 Si4'
_cell_length_a 3.771
_cell_length_b 3.771
_cell_length_c 9.026
_cell_angle_alpha 90.00
_cell_angle_beta 90.00
_cell_angle_gamma 90.00
_symmetry_space_group_name_H-M 'I -4 m 2'
_symmetry_Int_Tables_number 119
_symmetry_space_group_name_Hall 'I -4 -2'
loop_
_atom_site_label
_atom_site_fract_x
_atom_site_fract_y
_atom_site_fract_z
Ta1 0.000 0.000 0.000
Cd1 0.000 0.500 0.750
Si1 0.000 0.000 0.500
Si2 0.000 0.500 0.250
```

Formation energy without anion corrections: 29 kJ per mole of atoms
Magnetic moment: 0.0 μB per formula unit
Calculated volume: 16.05 A^3/atom
Crystal system: tetragonal


No. 8
VASP calculation (meta-GGA SCAN) on a crystal of TaCdSi2 relaxed with PBEsol.

Geometry as CIF:
```
data_TaCdSi2
_chemical_formula_sum 'Ta3 Cd3 Si6'
_cell_length_a 2.9952
_cell_length_b 2.9952
_cell_length_c 25.9342
_cell_angle_alpha 90.00
_cell_angle_beta 90.00
_cell_angle_gamma 120.00
_symmetry_space_group_name_H-M 'R -3 m'
_symmetry_Int_Tables_number 166
_symmetry_space_group_name_Hall '-R 3 2"'
loop_
_atom_site_label
_atom_site_fract_x
_atom_site_fract_y
_atom_site_fract_z
Ta1 0.0000 0.0000 0.0000
Cd1 0.0000 0.0000 0.5000
Si1 0.0000 0.0000 0.2553
```

Formation energy without anion corrections: 22 kJ per mole of atoms
Magnetic moment: 0.0 μB per formula unit
Calculated volume: 16.79 A^3/atom
Crystal system: trigonal